A relaxed structure of KSbPdRh, computed with PBE-GGA.

The uncorrected formation energy comes out at -0.19 eV per atom. As for the spin magnetization: 0.00 μB per formula unit. As for the space-group type: No. 129.

Cell lengths 4.010, 4.010, 13.087 Å; angles 90.00, 90.00, 90.00 degrees
Sites, in units of the cell vectors:
K1 0.250 0.250 0.198
K2 0.750 0.750 0.802
Sb1 0.250 0.250 0.625
Sb2 0.750 0.750 0.375
Pd1 0.250 0.750 0.000
Pd2 0.750 0.250 0.000
Rh1 0.250 0.750 0.500
Rh2 0.750 0.250 0.500

A relaxed structure of Ba2SrSe, computed with PBE-GGA.

As for the offset from the most stable computed form: 423 meV per atom. The uncorrected formation energy comes out at -0.50 eV per atom. As for the spin magnetization: 0.00 μB per formula unit. As for the space-group type: No. 65.

Cell lengths 6.194, 6.194, 4.480 Å; angles 90.00, 90.00, 104.05 degrees
Sites, in units of the cell vectors:
Ba1 0.000 0.500 0.000
Ba2 0.500 0.000 0.000
Sr1 0.000 0.000 0.500
Se1 0.500 0.500 0.500

A relaxed structure of ScTcSb2I, computed with PBE-GGA.

As for the offset from the most stable computed form: 0 meV per atom. The uncorrected formation energy comes out at 0.46 eV per atom. As for the spin magnetization: 0.55 μB per formula unit. As for the space-group type: No. 123.

Cell lengths 5.088, 5.088, 5.688 Å; angles 90.00, 90.00, 90.00 degrees
Sites, in units of the cell vectors:
Sc1 0.000 0.000 0.000
Tc1 0.500 0.500 0.500
Sb1 0.000 0.500 0.500
Sb2 0.500 0.000 0.500
I1 0.500 0.500 0.000

A relaxed structure of MnTe2Au, computed with PBE-GGA.

As for the offset from the most stable computed form: 41 meV per atom. The uncorrected formation energy comes out at -0.05 eV per atom. As for the spin magnetization: 3.01 μB per formula unit. As for the space-group type: No. 1.

Cell lengths 4.199, 6.660, 7.769 Å; angles 82.21, 81.49, 89.00 degrees
Sites, in units of the cell vectors:
Mn1 0.000 0.000 0.000
Mn2 0.434 0.012 0.219
Te1 0.160 0.272 0.713
Te2 0.535 0.797 0.904
Te3 0.894 0.292 0.218
Te4 0.920 0.773 0.336
Au1 0.537 0.991 0.557
Au2 0.539 0.364 0.948

- Which of these has the highest spin magnetization?
  MnTe2Au